Version w
{
  "formula": "HoSCl3",
  "functional": "PBE",
  "state": "optimized geometry",
  "lattice": [[3.485, -5.916, 0.000], [3.485, 5.916, 0.000], [-0.960, 0.000, 9.076]],
  "species": ["Cl", "Cl", "Ho", "Cl", "S", "S", "Cl", "Cl", "Ho", "Cl"],
  "fractional_positions": [[0.896, 0.896, 0.164], [0.104, 0.104, 0.836], [0.831, 0.169, 0.000], [0.853, 0.481, 0.834], [0.612, 0.612, 0.450], [0.388, 0.388, 0.550], [0.519, 0.147, 0.166], [0.147, 0.519, 0.166], [0.169, 0.831, 0.000], [0.481, 0.853, 0.834]]
}

---

Version x
{
  "formula": "HoSCl3",
  "functional": "PBE",
  "state": "optimized geometry",
  "lattice": [[3.590, -6.426, 0.000], [3.590, 6.426, 0.000], [-0.156, 0.000, 6.814]],
  "species": ["Cl", "Ho", "Cl", "Cl", "Cl", "S", "S", "Ho", "Cl", "Cl"],
  "fractional_positions": [[0.917, 0.509, 0.235], [0.186, 0.814, 0.000], [0.491, 0.083, 0.765], [0.509, 0.917, 0.235], [0.083, 0.491, 0.765], [0.077, 0.077, 0.168], [0.923, 0.923, 0.832], [0.814, 0.186, 0.000], [0.335, 0.335, 0.321], [0.665, 0.665, 0.679]]
}

---

Stability check: which of them is least stable? version x.

---

Version w
{
  "formula": "HoS3Cl",
  "functional": "PBE",
  "state": "optimized geometry",
  "lattice": [[2.603, -7.715, 0.000], [2.603, 7.715, 0.000], [-0.123, 0.000, 7.728]],
  "species": ["S", "S", "Cl", "S", "S", "S", "Ho", "Cl", "S", "Ho"],
  "fractional_positions": [[0.674, 0.324, 0.362], [0.977, 0.977, 0.334], [0.728, 0.728, 0.118], [0.326, 0.676, 0.638], [0.676, 0.326, 0.638], [0.023, 0.023, 0.666], [0.156, 0.844, 0.500], [0.272, 0.272, 0.882], [0.324, 0.674, 0.362], [0.844, 0.156, 0.500]]
}

---

Version x
{
  "formula": "HoS3Cl",
  "functional": "PBE",
  "state": "optimized geometry",
  "lattice": [[1.415, -0.785, 6.641], [-5.381, -4.124, -0.870], [5.769, -3.644, -3.599]],
  "species": ["Cl", "S", "S", "S", "S", "S", "Ho", "Cl", "Ho", "S"],
  "fractional_positions": [[0.975, 0.975, 0.253], [0.487, 0.487, 0.767], [0.814, 0.492, 0.348], [0.186, 0.508, 0.652], [0.508, 0.186, 0.652], [0.513, 0.513, 0.233], [0.823, 0.177, 0.500], [0.025, 0.025, 0.747], [0.177, 0.823, 0.500], [0.492, 0.814, 0.348]]
}

---

Stability check: which of them is least stable? version w.

---

Version w
{
  "formula": "Sm2INCl2",
  "functional": "PBE",
  "state": "optimized geometry",
  "lattice": [[9.195, -1.992, 0.000], [9.195, 1.992, 0.000], [-7.334, 0.000, 9.647]],
  "species": ["Cl", "I", "I", "Sm", "Sm", "Cl", "Cl", "Sm", "N", "N", "Sm", "Cl"],
  "fractional_positions": [[0.967, 0.967, 0.730], [0.245, 0.245, 0.648], [0.755, 0.755, 0.352], [0.858, 0.858, 0.210], [0.142, 0.142, 0.790], [0.668, 0.668, 0.989], [0.332, 0.332, 0.011], [0.422, 0.422, 0.536], [0.421, 0.421, 0.346], [0.579, 0.579, 0.654], [0.578, 0.578, 0.464], [0.033, 0.033, 0.270]]
}

---

Version x
{
  "formula": "Sm2INCl2",
  "functional": "PBE",
  "state": "optimized geometry",
  "lattice": [[8.185, -2.019, 0.000], [8.185, 2.019, 0.000], [-5.359, 0.000, 9.808]],
  "species": ["Cl", "Sm", "Cl", "Sm", "N", "Cl", "Cl", "N", "I", "Sm", "I", "Sm"],
  "fractional_positions": [[0.782, 0.782, 0.396], [0.587, 0.587, 0.454], [0.053, 0.053, 0.262], [0.413, 0.413, 0.546], [0.573, 0.573, 0.650], [0.218, 0.218, 0.604], [0.947, 0.947, 0.738], [0.427, 0.427, 0.350], [0.352, 0.352, 0.979], [0.131, 0.131, 0.777], [0.648, 0.648, 0.021], [0.869, 0.869, 0.223]]
}

---

Stability check: which of them is least stable? version w.